Compound: SmB6
Source: Alexandria via LeMat-Bulk
Functional: GGA-PBE
Structure: relaxed

a b c (Å): 4.120 4.120 4.120
angles (deg): 90.00 90.00 90.00
Positions (direct):
Sm 0.000 0.000 0.000
B 0.199 0.500 0.500
B 0.500 0.500 0.801
B 0.500 0.500 0.199
B 0.500 0.199 0.500
B 0.500 0.801 0.500
B 0.801 0.500 0.500

## Properties
* magnetization: 0.000 μB/atom
* electronic total energy: -47.93 eV/cell
* excess energy over the best structure of this formula in the dataset: 0 meV/atom
* V: 9.99 A^3/atom
* ρ: 5.11 g/cm3
* formation enthalpy at 0 K: -3.15 eV/f.u.